# Co2Ir3 GGA-PBE relaxed
# * ρ: 16.6 Mg/m³
# * formation energy from the elements: 0.518 eV per atom
data_Co2Ir3
_cell_length_a 5.3874
_cell_length_b 5.3874
_cell_length_c 5.3874
_cell_angle_alpha 72.74
_cell_angle_beta 72.74
_cell_angle_gamma 72.74
_symmetry_space_group_name_H-M 'P 1'
_symmetry_Int_Tables_number 1
_symmetry_space_group_name_Hall 'P 1'
loop_
_atom_site_label
_atom_site_type_symbol
_atom_site_fract_x
_atom_site_fract_y
_atom_site_fract_z
Co1 Co 0.0919 0.0919 0.0919
Co2 Co 0.4081 0.4081 0.4081
Co3 Co 0.5919 0.5919 0.5919
Co4 Co 0.9081 0.9081 0.9081
Ir1 Ir 0.0051 0.7500 0.4949
Ir2 Ir 0.2500 0.5051 0.9949
Ir3 Ir 0.4949 0.0051 0.7500
Ir4 Ir 0.5051 0.9949 0.2500
Ir5 Ir 0.7500 0.4949 0.0051
Ir6 Ir 0.9949 0.2500 0.5051

---

# Cu17Bi GGA-PBE relaxed
# * ρ: 6.0 Mg/m³
# * total energy: -3.67 eV per atom
data_Cu17Bi
_cell_length_a 5.0856
_cell_length_b 5.0856
_cell_length_c 31.6052
_cell_angle_alpha 90.00
_cell_angle_beta 90.00
_cell_angle_gamma 120.00
_symmetry_space_group_name_H-M 'P 1'
_symmetry_Int_Tables_number 1
_symmetry_space_group_name_Hall 'P 1'
loop_
_atom_site_label
_atom_site_type_symbol
_atom_site_fract_x
_atom_site_fract_y
_atom_site_fract_z
Cu1 Cu 0.0000 0.0000 0.0000
Cu2 Cu 0.0000 0.0000 0.1953
Cu3 Cu 0.0000 0.0000 0.8047
Cu4 Cu 0.0000 0.5000 0.0000
Cu5 Cu 0.0038 0.5019 0.1969
Cu6 Cu 0.1666 0.3332 0.7387
Cu7 Cu 0.1670 0.3341 0.9346
Cu8 Cu 0.1674 0.3348 0.1306
Cu9 Cu 0.1674 0.8326 0.1306
Cu10 Cu 0.1666 0.8334 0.7387
Cu11 Cu 0.1670 0.8330 0.9346
Cu12 Cu 0.3332 0.1666 0.2613
Cu13 Cu 0.3333 0.6667 0.0650
Cu14 Cu 0.3333 0.6667 0.8686
Cu15 Cu 0.3341 0.1670 0.0654
Cu16 Cu 0.3348 0.1674 0.8694
Cu17 Cu 0.4981 0.5019 0.1969
Cu18 Cu 0.4981 0.9962 0.1969
Cu19 Cu 0.5000 0.0000 0.0000
Cu20 Cu 0.5000 0.5000 0.0000
Cu21 Cu 0.5019 0.0038 0.8031
Cu22 Cu 0.5019 0.4981 0.8031
Cu23 Cu 0.6652 0.8326 0.1306
Cu24 Cu 0.6659 0.8330 0.9346
Cu25 Cu 0.6667 0.3333 0.1314
Cu26 Cu 0.6667 0.3333 0.9350
Cu27 Cu 0.6668 0.8334 0.7387
Cu28 Cu 0.8330 0.1670 0.0654
Cu29 Cu 0.8334 0.1666 0.2613
Cu30 Cu 0.8326 0.1674 0.8694
Cu31 Cu 0.8326 0.6652 0.8694
Cu32 Cu 0.8330 0.6659 0.0654
Cu33 Cu 0.8334 0.6668 0.2613
Cu34 Cu 0.9962 0.4981 0.8031
Bi1 Bi 0.3333 0.6667 0.2963
Bi2 Bi 0.6667 0.3333 0.7037

---

# InNiCl3 GGA-PBE relaxed
# * ρ: 3.9 Mg/m³
# * total energy: -3.44 eV per atom
data_InNiCl3
_cell_length_a 6.8566
_cell_length_b 6.8566
_cell_length_c 5.9277
_cell_angle_alpha 96.13
_cell_angle_beta 96.13
_cell_angle_gamma 60.00
_symmetry_space_group_name_H-M 'P 1'
_symmetry_Int_Tables_number 1
_symmetry_space_group_name_Hall 'P 1'
loop_
_atom_site_label
_atom_site_type_symbol
_atom_site_fract_x
_atom_site_fract_y
_atom_site_fract_z
In1 In 0.1657 0.1657 0.2413
In2 In 0.8343 0.8343 0.7587
Ni1 Ni 0.5000 0.5000 0.0000
Ni2 Ni 0.5000 0.5000 0.5000
Cl1 Cl 0.1816 0.6577 0.2285
Cl2 Cl 0.3398 0.3398 0.7076
Cl3 Cl 0.3423 0.8184 0.7715
Cl4 Cl 0.6577 0.1816 0.2285
Cl5 Cl 0.6602 0.6602 0.2924
Cl6 Cl 0.8184 0.3423 0.7715

---

# Mg2ScHg GGA-PBE relaxed
# * ρ: 5.8 Mg/m³
# * total energy: -2.67 eV per atom
data_Mg2ScHg
_cell_length_a 6.1223
_cell_length_b 11.2087
_cell_length_c 4.9211
_cell_angle_alpha 90.00
_cell_angle_beta 90.00
_cell_angle_gamma 90.00
_symmetry_space_group_name_H-M 'P 1'
_symmetry_Int_Tables_number 1
_symmetry_space_group_name_Hall 'P 1'
loop_
_atom_site_label
_atom_site_type_symbol
_atom_site_fract_x
_atom_site_fract_y
_atom_site_fract_z
Mg1 Mg 0.2504 0.0756 0.2500
Mg2 Mg 0.2496 0.4244 0.7500
Mg3 Mg 0.2496 0.5756 0.2500
Mg4 Mg 0.2504 0.9244 0.7500
Mg5 Mg 0.7496 0.0756 0.2500
Mg6 Mg 0.7504 0.4244 0.7500
Mg7 Mg 0.7504 0.5756 0.2500
Mg8 Mg 0.7496 0.9244 0.7500
Sc1 Sc 0.0000 0.1814 0.7500
Sc2 Sc 0.0000 0.8186 0.2500
Sc3 Sc 0.5000 0.3186 0.2500
Sc4 Sc 0.5000 0.6814 0.7500
Hg1 Hg 0.0000 0.3314 0.2500
Hg2 Hg 0.0000 0.6686 0.7500
Hg3 Hg 0.5000 0.1686 0.7500
Hg4 Hg 0.5000 0.8314 0.2500

---

# Cs2ZrCdBr6 GGA-PBE relaxed
# * ρ: 3.6 Mg/m³
# * total energy: -3.48 eV per atom
data_Cs2ZrCdBr6
_cell_length_a 8.5022
_cell_length_b 8.5022
_cell_length_c 8.5022
_cell_angle_alpha 60.00
_cell_angle_beta 60.00
_cell_angle_gamma 60.00
_symmetry_space_group_name_H-M 'P 1'
_symmetry_Int_Tables_number 1
_symmetry_space_group_name_Hall 'P 1'
loop_
_atom_site_label
_atom_site_type_symbol
_atom_site_fract_x
_atom_site_fract_y
_atom_site_fract_z
Cs1 Cs 0.2500 0.2500 0.2500
Cs2 Cs 0.7500 0.7500 0.7500
Zr1 Zr 0.0000 0.0000 0.0000
Cd1 Cd 0.5000 0.5000 0.5000
Br1 Br 0.2211 0.2211 0.7789
Br2 Br 0.2211 0.7789 0.2211
Br3 Br 0.2211 0.7789 0.7789
Br4 Br 0.7789 0.2211 0.2211
Br5 Br 0.7789 0.2211 0.7789
Br6 Br 0.7789 0.7789 0.2211

---

# Dy2Tm3Lu2Ni2Te2 GGA-PBE relaxed
# * ρ: 9.3 Mg/m³
# * total energy: -5.14 eV per atom
data_Dy2Tm3Lu2Ni2Te2
_cell_length_a 9.2384
_cell_length_b 9.2384
_cell_length_c 9.2384
_cell_angle_alpha 156.24
_cell_angle_beta 67.22
_cell_angle_gamma 118.16
_symmetry_space_group_name_H-M 'P 1'
_symmetry_Int_Tables_number 1
_symmetry_space_group_name_Hall 'P 1'
loop_
_atom_site_label
_atom_site_type_symbol
_atom_site_fract_x
_atom_site_fract_y
_atom_site_fract_z
Dy1 Dy 0.1336 0.0000 0.1336
Dy2 Dy 0.8664 0.0000 0.8664
Tm1 Tm 0.5172 0.2025 0.3148
Tm2 Tm 0.5798 0.5798 0.0000
Tm3 Tm 0.8877 0.2025 0.6852
Lu1 Lu 0.2074 0.8536 0.3538
Lu2 Lu 0.4998 0.8536 0.6462
Ni1 Ni 0.2757 0.5095 0.7662
Ni2 Ni 0.7433 0.5095 0.2338
Te1 Te 0.2463 0.2463 0.0000
Te2 Te 0.8435 0.3435 0.5000

---

Which formula does entry 6 have?
Dy2Tm3Lu2Ni2Te2

---

What is the ρ in the third record?
3.9 Mg/m³

---

Please write out number 3 again, unchanged.
# InNiCl3 GGA-PBE relaxed
# * ρ: 3.9 Mg/m³
# * total energy: -3.44 eV per atom
data_InNiCl3
_cell_length_a 6.8566
_cell_length_b 6.8566
_cell_length_c 5.9277
_cell_angle_alpha 96.13
_cell_angle_beta 96.13
_cell_angle_gamma 60.00
_symmetry_space_group_name_H-M 'P 1'
_symmetry_Int_Tables_number 1
_symmetry_space_group_name_Hall 'P 1'
loop_
_atom_site_label
_atom_site_type_symbol
_atom_site_fract_x
_atom_site_fract_y
_atom_site_fract_z
In1 In 0.1657 0.1657 0.2413
In2 In 0.8343 0.8343 0.7587
Ni1 Ni 0.5000 0.5000 0.0000
Ni2 Ni 0.5000 0.5000 0.5000
Cl1 Cl 0.1816 0.6577 0.2285
Cl2 Cl 0.3398 0.3398 0.7076
Cl3 Cl 0.3423 0.8184 0.7715
Cl4 Cl 0.6577 0.1816 0.2285
Cl5 Cl 0.6602 0.6602 0.2924
Cl6 Cl 0.8184 0.3423 0.7715

---

The lowest ρ belongs to which entry?
Cs2ZrCdBr6